Computed, not measured: Ta2InPt after structural relaxation at the PBE-GGA level of DFT.

Calculated values
Formation energy from the elements in eV per atom: -0.10
Fermi-level density of states in states/eV/cell: 2.97
E in eV for the cell shown: -32.88
Space-group type: Imm2, No. 44
Size of the total moment in μB per formula unit: 0.0

Cell and atoms, written as POSCAR:
```
Ta2InPt
1.0
-1.3788 3.9534 -3.8620
-2.2077 -1.6992 -4.9683
-0.4228 0.2767 5.6736
Ta In Pt
2 1 1
Direct
0.0116 0.0116 0.0000
0.7691 0.2691 0.5000
0.4852 0.4852 0.0000
0.2340 0.7340 0.5000
```